Model i:
# TeMo2C, relaxed, DFT PBE-GGA
data_TeMo2C
_symmetry_space_group_name_H-M 'P 1'
_symmetry_Int_Tables_number 1
_symmetry_space_group_name_Hall 'P 1'
_cell_length_a 6.186
_cell_length_b 6.186
_cell_length_c 6.186
_cell_angle_alpha 90.00
_cell_angle_beta 90.00
_cell_angle_gamma 90.00
loop_
_atom_site_label
_atom_site_type_symbol
_atom_site_fract_x
_atom_site_fract_y
_atom_site_fract_z
Te1 Te 0.000 0.000 0.000
Te2 Te 0.000 0.500 0.500
Te3 Te 0.500 0.000 0.500
Te4 Te 0.500 0.500 0.000
Mo1 Mo 0.250 0.250 0.250
Mo2 Mo 0.250 0.250 0.750
Mo3 Mo 0.250 0.750 0.250
Mo4 Mo 0.250 0.750 0.750
Mo5 Mo 0.750 0.250 0.250
Mo6 Mo 0.750 0.250 0.750
Mo7 Mo 0.750 0.750 0.250
Mo8 Mo 0.750 0.750 0.750
C1 C 0.000 0.000 0.500
C2 C 0.000 0.500 0.000
C3 C 0.500 0.000 0.000
C4 C 0.500 0.500 0.500
# Calculated density: 9.30 g/cm³
# DOS(E_F): 0.808 states/eV/atom
# SG: Fm-3m

Model ii:
# TeMo2C, relaxed, DFT PBE-GGA
data_TeMo2C
_symmetry_space_group_name_H-M 'P 1'
_symmetry_Int_Tables_number 1
_symmetry_space_group_name_Hall 'P 1'
_cell_length_a 5.121
_cell_length_b 5.121
_cell_length_c 11.652
_cell_angle_alpha 90.00
_cell_angle_beta 90.00
_cell_angle_gamma 90.00
loop_
_atom_site_label
_atom_site_type_symbol
_atom_site_fract_x
_atom_site_fract_y
_atom_site_fract_z
Te1 Te 0.000 0.000 0.000
Te2 Te 0.000 0.500 0.250
Te3 Te 0.500 0.000 0.750
Te4 Te 0.500 0.500 0.500
Mo1 Mo 0.122 0.250 0.625
Mo2 Mo 0.250 0.622 0.875
Mo3 Mo 0.250 0.878 0.375
Mo4 Mo 0.378 0.250 0.125
Mo5 Mo 0.622 0.750 0.125
Mo6 Mo 0.750 0.122 0.375
Mo7 Mo 0.750 0.378 0.875
Mo8 Mo 0.878 0.750 0.625
C1 C 0.000 0.000 0.500
C2 C 0.000 0.500 0.750
C3 C 0.500 0.000 0.250
C4 C 0.500 0.500 0.000
# Calculated density: 7.21 g/cm³
# DOS(E_F): 0.665 states/eV/atom
# SG: I-42d

Quick one: least stable of them? model i

Model i:
# TeMo3C, relaxed, DFT PBE-GGA
data_TeMo3C
_symmetry_space_group_name_H-M 'P 1'
_symmetry_Int_Tables_number 1
_symmetry_space_group_name_Hall 'P 1'
_cell_length_a 4.888
_cell_length_b 4.888
_cell_length_c 4.888
_cell_angle_alpha 90.00
_cell_angle_beta 90.00
_cell_angle_gamma 90.00
loop_
_atom_site_label
_atom_site_type_symbol
_atom_site_fract_x
_atom_site_fract_y
_atom_site_fract_z
Te1 Te 0.000 0.000 0.000
Mo1 Mo 0.000 0.000 0.500
Mo2 Mo 0.000 0.500 0.000
Mo3 Mo 0.500 0.000 0.000
C1 C 0.500 0.500 0.500
# Calculated density: 6.08 g/cm³
# DOS(E_F): 1.413 states/eV/atom
# SG: Pm-3m

Model ii:
# TeMo3C, relaxed, DFT PBE-GGA
data_TeMo3C
_symmetry_space_group_name_H-M 'P 1'
_symmetry_Int_Tables_number 1
_symmetry_space_group_name_Hall 'P 1'
_cell_length_a 4.233
_cell_length_b 4.233
_cell_length_c 4.233
_cell_angle_alpha 90.00
_cell_angle_beta 90.00
_cell_angle_gamma 90.00
loop_
_atom_site_label
_atom_site_type_symbol
_atom_site_fract_x
_atom_site_fract_y
_atom_site_fract_z
Te1 Te 0.000 0.000 0.000
Mo1 Mo 0.000 0.500 0.500
Mo2 Mo 0.500 0.000 0.500
Mo3 Mo 0.500 0.500 0.000
C1 C 0.500 0.500 0.500
# Calculated density: 9.36 g/cm³
# DOS(E_F): 1.334 states/eV/atom
# SG: Pm-3m

Quick one: least stable of them? model i

Model i:
# Te3MoC, relaxed, DFT PBE-GGA
data_Te3MoC
_symmetry_space_group_name_H-M 'P 1'
_symmetry_Int_Tables_number 1
_symmetry_space_group_name_Hall 'P 1'
_cell_length_a 4.711
_cell_length_b 4.711
_cell_length_c 4.711
_cell_angle_alpha 90.00
_cell_angle_beta 90.00
_cell_angle_gamma 90.00
loop_
_atom_site_label
_atom_site_type_symbol
_atom_site_fract_x
_atom_site_fract_y
_atom_site_fract_z
Te1 Te 0.000 0.000 0.500
Te2 Te 0.000 0.500 0.000
Te3 Te 0.500 0.000 0.000
Mo1 Mo 0.500 0.500 0.500
C1 C 0.000 0.000 0.000
# Calculated density: 7.79 g/cm³
# DOS(E_F): 0.434 states/eV/atom
# SG: Pm-3m

Model ii:
# Te3MoC, relaxed, DFT PBE-GGA
data_Te3MoC
_symmetry_space_group_name_H-M 'P 1'
_symmetry_Int_Tables_number 1
_symmetry_space_group_name_Hall 'P 1'
_cell_length_a 5.280
_cell_length_b 5.280
_cell_length_c 5.280
_cell_angle_alpha 90.00
_cell_angle_beta 90.00
_cell_angle_gamma 90.00
loop_
_atom_site_label
_atom_site_type_symbol
_atom_site_fract_x
_atom_site_fract_y
_atom_site_fract_z
Te1 Te 0.000 0.000 0.500
Te2 Te 0.000 0.500 0.000
Te3 Te 0.500 0.000 0.000
Mo1 Mo 0.000 0.000 0.000
C1 C 0.500 0.500 0.500
# Calculated density: 5.54 g/cm³
# DOS(E_F): 1.114 states/eV/atom
# SG: Pm-3m

Quick one: least stable of them? model ii

Model i:
# ThMoC2, relaxed, DFT PBE-GGA
data_ThMoC2
_symmetry_space_group_name_H-M 'P 1'
_symmetry_Int_Tables_number 1
_symmetry_space_group_name_Hall 'P 1'
_cell_length_a 3.338
_cell_length_b 3.338
_cell_length_c 17.155
_cell_angle_alpha 90.00
_cell_angle_beta 90.00
_cell_angle_gamma 120.00
loop_
_atom_site_label
_atom_site_type_symbol
_atom_site_fract_x
_atom_site_fract_y
_atom_site_fract_z
Th1 Th 0.000 0.000 0.000
Th2 Th 0.333 0.667 0.667
Th3 Th 0.667 0.333 0.333
Mo1 Mo 0.000 0.000 0.500
Mo2 Mo 0.333 0.667 0.167
Mo3 Mo 0.667 0.333 0.833
C1 C 0.000 0.000 0.234
C2 C 0.000 0.000 0.766
C3 C 0.333 0.667 0.432
C4 C 0.333 0.667 0.901
C5 C 0.667 0.333 0.099
C6 C 0.667 0.333 0.568
# Calculated density: 10.59 g/cm³
# DOS(E_F): 0.433 states/eV/atom
# SG: R-3m

Model ii:
# ThMoC2, relaxed, DFT PBE-GGA
data_ThMoC2
_symmetry_space_group_name_H-M 'P 1'
_symmetry_Int_Tables_number 1
_symmetry_space_group_name_Hall 'P 1'
_cell_length_a 5.887
_cell_length_b 3.500
_cell_length_c 11.083
_cell_angle_alpha 90.00
_cell_angle_beta 90.00
_cell_angle_gamma 90.00
loop_
_atom_site_label
_atom_site_type_symbol
_atom_site_fract_x
_atom_site_fract_y
_atom_site_fract_z
Th1 Th 0.085 0.250 0.141
Th2 Th 0.415 0.750 0.641
Th3 Th 0.585 0.250 0.359
Th4 Th 0.915 0.750 0.859
Mo1 Mo 0.085 0.750 0.395
Mo2 Mo 0.415 0.250 0.895
Mo3 Mo 0.585 0.750 0.105
Mo4 Mo 0.915 0.250 0.605
C1 C 0.164 0.250 0.751
C2 C 0.216 0.250 0.481
C3 C 0.284 0.750 0.981
C4 C 0.336 0.750 0.251
C5 C 0.664 0.250 0.749
C6 C 0.716 0.250 0.019
C7 C 0.784 0.750 0.519
C8 C 0.836 0.750 0.249
# Calculated density: 10.24 g/cm³
# DOS(E_F): 0.186 states/eV/atom
# SG: Pnma

Quick one: least stable of them? model i

Model i:
# TiMoC3, relaxed, DFT PBE-GGA
data_TiMoC3
_symmetry_space_group_name_H-M 'P 1'
_symmetry_Int_Tables_number 1
_symmetry_space_group_name_Hall 'P 1'
_cell_length_a 3.879
_cell_length_b 3.879
_cell_length_c 3.879
_cell_angle_alpha 90.00
_cell_angle_beta 90.00
_cell_angle_gamma 90.00
loop_
_atom_site_label
_atom_site_type_symbol
_atom_site_fract_x
_atom_site_fract_y
_atom_site_fract_z
Ti1 Ti 0.000 0.000 0.000
Mo1 Mo 0.500 0.500 0.500
C1 C 0.000 0.000 0.500
C2 C 0.000 0.500 0.000
C3 C 0.500 0.000 0.000
# Calculated density: 5.12 g/cm³
# DOS(E_F): 1.165 states/eV/atom
# SG: Pm-3m

Model ii:
# TiMoC3, relaxed, DFT PBE-GGA
data_TiMoC3
_symmetry_space_group_name_H-M 'P 1'
_symmetry_Int_Tables_number 1
_symmetry_space_group_name_Hall 'P 1'
_cell_length_a 3.997
_cell_length_b 3.997
_cell_length_c 3.997
_cell_angle_alpha 90.00
_cell_angle_beta 90.00
_cell_angle_gamma 90.00
loop_
_atom_site_label
_atom_site_type_symbol
_atom_site_fract_x
_atom_site_fract_y
_atom_site_fract_z
Ti1 Ti 0.000 0.000 0.000
Mo1 Mo 0.500 0.500 0.500
C1 C 0.000 0.500 0.500
C2 C 0.500 0.000 0.500
C3 C 0.500 0.500 0.000
# Calculated density: 4.68 g/cm³
# DOS(E_F): 1.319 states/eV/atom
# SG: Pm-3m

Quick one: least stable of them? model i

Model i:
# TiMoC, relaxed, DFT PBE-GGA
data_TiMoC
_symmetry_space_group_name_H-M 'P 1'
_symmetry_Int_Tables_number 1
_symmetry_space_group_name_Hall 'P 1'
_cell_length_a 3.056
_cell_length_b 4.354
_cell_length_c 5.861
_cell_angle_alpha 90.00
_cell_angle_beta 90.00
_cell_angle_gamma 90.00
loop_
_atom_site_label
_atom_site_type_symbol
_atom_site_fract_x
_atom_site_fract_y
_atom_site_fract_z
Ti1 Ti 0.250 0.250 0.121
Ti2 Ti 0.750 0.750 0.879
Mo1 Mo 0.250 0.250 0.610
Mo2 Mo 0.750 0.750 0.390
C1 C 0.250 0.750 0.637
C2 C 0.750 0.250 0.363
# Calculated density: 6.64 g/cm³
# DOS(E_F): 0.598 states/eV/atom
# SG: Pmmn

Model ii:
# TiMoC, relaxed, DFT PBE-GGA
data_TiMoC
_symmetry_space_group_name_H-M 'P 1'
_symmetry_Int_Tables_number 1
_symmetry_space_group_name_Hall 'P 1'
_cell_length_a 4.769
_cell_length_b 6.056
_cell_length_c 5.282
_cell_angle_alpha 90.00
_cell_angle_beta 90.09
_cell_angle_gamma 90.00
loop_
_atom_site_label
_atom_site_type_symbol
_atom_site_fract_x
_atom_site_fract_y
_atom_site_fract_z
Ti1 Ti 0.243 0.126 0.413
Ti2 Ti 0.243 0.374 0.913
Ti3 Ti 0.757 0.626 0.087
Ti4 Ti 0.757 0.874 0.587
Mo1 Mo 0.255 0.623 0.417
Mo2 Mo 0.255 0.877 0.917
Mo3 Mo 0.745 0.123 0.083
Mo4 Mo 0.745 0.377 0.583
C1 C 0.499 0.126 0.748
C2 C 0.499 0.374 0.248
C3 C 0.501 0.626 0.752
C4 C 0.501 0.874 0.252
# Calculated density: 6.79 g/cm³
# DOS(E_F): 0.514 states/eV/atom
# SG: P2_1/c

Quick one: least stable of them? model i

Model i:
# Ti2Mo2C, relaxed, DFT PBE-GGA
data_Ti2Mo2C
_symmetry_space_group_name_H-M 'P 1'
_symmetry_Int_Tables_number 1
_symmetry_space_group_name_Hall 'P 1'
_cell_length_a 5.645
_cell_length_b 5.645
_cell_length_c 4.730
_cell_angle_alpha 90.00
_cell_angle_beta 90.00
_cell_angle_gamma 90.00
loop_
_atom_site_label
_atom_site_type_symbol
_atom_site_fract_x
_atom_site_fract_y
_atom_site_fract_z
Ti1 Ti 0.159 0.341 0.000
Ti2 Ti 0.341 0.841 0.000
Ti3 Ti 0.659 0.159 0.000
Ti4 Ti 0.841 0.659 0.000
Mo1 Mo 0.167 0.667 0.500
Mo2 Mo 0.333 0.167 0.500
Mo3 Mo 0.667 0.833 0.500
Mo4 Mo 0.833 0.333 0.500
C1 C 0.000 0.000 0.500
C2 C 0.500 0.500 0.500
# Calculated density: 6.60 g/cm³
# DOS(E_F): 1.467 states/eV/atom
# SG: P4/mbm

Model ii:
# Ti2Mo2C, relaxed, DFT PBE-GGA
data_Ti2Mo2C
_symmetry_space_group_name_H-M 'P 1'
_symmetry_Int_Tables_number 1
_symmetry_space_group_name_Hall 'P 1'
_cell_length_a 3.118
_cell_length_b 3.118
_cell_length_c 15.067
_cell_angle_alpha 90.00
_cell_angle_beta 90.00
_cell_angle_gamma 90.00
loop_
_atom_site_label
_atom_site_type_symbol
_atom_site_fract_x
_atom_site_fract_y
_atom_site_fract_z
Ti1 Ti 0.000 0.500 0.250
Ti2 Ti 0.000 0.500 0.750
Ti3 Ti 0.500 0.000 0.250
Ti4 Ti 0.500 0.000 0.750
Mo1 Mo 0.000 0.000 0.080
Mo2 Mo 0.000 0.000 0.920
Mo3 Mo 0.500 0.500 0.420
Mo4 Mo 0.500 0.500 0.580
C1 C 0.000 0.000 0.500
C2 C 0.500 0.500 0.000
# Calculated density: 6.79 g/cm³
# DOS(E_F): 1.153 states/eV/atom
# SG: I4/mmm

Quick one: least stable of them? model ii

Model i:
# TlMoC3, relaxed, DFT PBE-GGA
data_TlMoC3
_symmetry_space_group_name_H-M 'P 1'
_symmetry_Int_Tables_number 1
_symmetry_space_group_name_Hall 'P 1'
_cell_length_a 4.200
_cell_length_b 4.200
_cell_length_c 4.200
_cell_angle_alpha 90.00
_cell_angle_beta 90.00
_cell_angle_gamma 90.00
loop_
_atom_site_label
_atom_site_type_symbol
_atom_site_fract_x
_atom_site_fract_y
_atom_site_fract_z
Tl1 Tl 0.000 0.000 0.000
Mo1 Mo 0.500 0.500 0.500
C1 C 0.000 0.000 0.500
C2 C 0.000 0.500 0.000
C3 C 0.500 0.000 0.000
# Calculated density: 7.54 g/cm³
# DOS(E_F): 0.791 states/eV/atom
# SG: Pm-3m

Model ii:
# TlMoC3, relaxed, DFT PBE-GGA
data_TlMoC3
_symmetry_space_group_name_H-M 'P 1'
_symmetry_Int_Tables_number 1
_symmetry_space_group_name_Hall 'P 1'
_cell_length_a 4.200
_cell_length_b 4.200
_cell_length_c 4.200
_cell_angle_alpha 90.00
_cell_angle_beta 90.00
_cell_angle_gamma 90.00
loop_
_atom_site_label
_atom_site_type_symbol
_atom_site_fract_x
_atom_site_fract_y
_atom_site_fract_z
Tl1 Tl 0.000 0.000 0.000
Mo1 Mo 0.500 0.500 0.500
C1 C 0.000 0.500 0.500
C2 C 0.500 0.000 0.500
C3 C 0.500 0.500 0.000
# Calculated density: 7.54 g/cm³
# DOS(E_F): 0.730 states/eV/atom
# SG: Pm-3m

Quick one: least stable of them? model i